Entry 1:
The following is a PBE-GGA calculation of a relaxed structure of K2LaUTe4, from the Alexandria database.

Results
ΔE_f (raw) in kJ/mol of formula units: -894
Calculated total energy in eV/atom: -5.031
Calculated density in g/cm³: 5.2
Volume in Å³ per atom: 38.2
DOS(E_F) in states/eV/atom: 1.151

Cell: 8.020 4.625 8.668 Å, 90.00 108.00 90.00°
Space group P2/m (No. 10)
Asymmetric unit:
K: 0.000 0.000 0.000 (multiplicity 1)
K: 0.500 0.500 0.000 (multiplicity 1)
La: 0.000 0.500 0.500 (multiplicity 1)
U: 0.500 0.000 0.500 (multiplicity 1)
Te: 0.246 0.000 0.716 (multiplicity 2)
Te: 0.270 0.500 0.288 (multiplicity 2)


Entry 2:
The following is a PBE-GGA calculation of a relaxed structure of NaCd5Hg8, from the Alexandria database.

Results
Energy of formation in eV/atom: -0.017
Calculated total energy in eV/atom: -0.611
Calculated density in g/cm³: 10.1
Volume in Å³ per atom: 25.8
DOS(E_F) in states/eV/atom: 0.398

Cell: 9.007 9.007 8.918 Å, 90.00 90.00 90.00°
Space group I-4 (No. 82)
Asymmetric unit:
Na: 0.000 0.000 0.000 (multiplicity 2)
Cd: 0.000 0.500 0.250 (multiplicity 2)
Cd: 0.139 0.257 0.636 (multiplicity 8)
Hg: 0.075 0.166 0.308 (multiplicity 8)
Hg: 0.081 0.338 0.960 (multiplicity 8)